# TiTeO2

TiTeO2 after structural relaxation (PBE, Alexandria).

Structure (CIF):
```
data_TiTeO2
_chemical_formula_sum 'Ti4 Te4 O8'
_cell_length_a 5.9656
_cell_length_b 5.9656
_cell_length_c 8.4292
_cell_angle_alpha 90.00
_cell_angle_beta 90.00
_cell_angle_gamma 90.00
_space_group_name_H-M_alt 'I -4 2 d'
_space_group_IT_number 122
_space_group_name_Hall 'I -4 2bw'
loop_
_atom_site_label
_atom_site_type_symbol
_atom_site_fract_x
_atom_site_fract_y
_atom_site_fract_z
Ti1 Ti 0.0000 0.0000 0.0000
Te1 Te 0.0000 0.0000 0.5000
O1 O 0.0007 0.7500 0.1250
```

Values from the calculation:
- DFT total energy: -113.9 eV for the cell shown
- Uncorrected formation energy: -1880 meV per atom
- DOS(E_F): 4.17 states/eV per cell


# TiTe3O9

TiTe3O9 after structural relaxation (PBE, Alexandria).

Structure (CIF):
```
data_TiTe3O9
_chemical_formula_sum 'Ti4 Te12 O36'
_cell_length_a 15.9629
_cell_length_b 6.6696
_cell_length_c 11.1283
_cell_angle_alpha 90.00
_cell_angle_beta 129.78
_cell_angle_gamma 90.00
_space_group_name_H-M_alt 'C 1 c 1'
_space_group_IT_number 9
loop_
_space_group_symop_operation_xyz
'x,y,z'
'x,-y,z+1/2'
'x+1/2,y+1/2,z'
'x+1/2,-y+1/2,z+1/2'
loop_
_atom_site_label
_atom_site_type_symbol
_atom_site_fract_x
_atom_site_fract_y
_atom_site_fract_z
Ti1 Ti 0.0000 0.2178 0.0000
Te1 Te 0.1121 0.2272 0.4284
Te2 Te 0.2212 0.4932 0.2687
Te3 Te 0.3633 0.0661 0.0682
O1 O 0.0373 0.1518 0.1803
O2 O 0.0518 0.9996 0.4379
O3 O 0.1284 0.3603 0.0681
O4 O 0.2123 0.2603 0.6700
O5 O 0.2478 0.1280 0.4667
O6 O 0.3028 0.3156 0.9933
O7 O 0.3535 0.3868 0.3352
O8 O 0.4368 0.0056 0.4976
O9 O 0.4563 0.0441 0.2814
```

Values from the calculation:
- DFT total energy: -314.9 eV for the cell shown
- Uncorrected formation energy: -1291 meV per atom
- DOS(E_F): 0.00 states/eV per cell


# TiTe3O

TiTe3O after structural relaxation (PBE, Alexandria).

Structure (CIF):
```
data_TiTe3O
_chemical_formula_sum 'Ti1 Te3 O1'
_cell_length_a 5.1770
_cell_length_b 5.1770
_cell_length_c 5.1770
_cell_angle_alpha 90.00
_cell_angle_beta 90.00
_cell_angle_gamma 90.00
_space_group_name_H-M_alt 'P m -3 m'
_space_group_IT_number 221
_space_group_name_Hall '-P 4 2 3'
loop_
_atom_site_label
_atom_site_type_symbol
_atom_site_fract_x
_atom_site_fract_y
_atom_site_fract_z
Ti1 Ti 0.0000 0.0000 0.0000
Te1 Te 0.0000 0.0000 0.5000
O1 O 0.5000 0.5000 0.5000
```

Values from the calculation:
- DFT total energy: -20.1 eV for the cell shown
- Uncorrected formation energy: 438 meV per atom
- DOS(E_F): 8.31 states/eV per cell


# Ti2Te4O

Ti2Te4O after structural relaxation (PBE, Alexandria).

Structure (CIF):
```
data_Ti2Te4O
_chemical_formula_sum 'Ti4 Te8 O2'
_cell_length_a 4.4422
_cell_length_b 4.4422
_cell_length_c 15.9885
_cell_angle_alpha 90.00
_cell_angle_beta 90.00
_cell_angle_gamma 90.00
_space_group_name_H-M_alt 'I 4/m m m'
_space_group_IT_number 139
_space_group_name_Hall '-I 4 2'
loop_
_atom_site_label
_atom_site_type_symbol
_atom_site_fract_x
_atom_site_fract_y
_atom_site_fract_z
Ti1 Ti 0.0000 0.0000 0.1320
Te1 Te 0.0000 0.0000 0.3089
Te2 Te 0.0000 0.5000 0.0000
O1 O 0.0000 0.0000 0.5000
```

Values from the calculation:
- DFT total energy: -69.8 eV for the cell shown
- Uncorrected formation energy: -225 meV per atom
- DOS(E_F): 12.82 states/eV per cell


# TiTl2Te3O12

TiTl2Te3O12 after structural relaxation (PBE, Alexandria).

Structure (CIF):
```
data_TiTl2Te3O12
_chemical_formula_sum 'Ti2 Tl4 Te6 O24'
_cell_length_a 12.5049
_cell_length_b 7.2742
_cell_length_c 7.2335
_cell_angle_alpha 90.00
_cell_angle_beta 124.88
_cell_angle_gamma 90.00
_space_group_name_H-M_alt 'C 1 2 1'
_space_group_IT_number 5
loop_
_space_group_symop_operation_xyz
'x,y,z'
'-x,y,-z'
'x+1/2,y+1/2,z'
'-x+1/2,y+1/2,-z'
loop_
_atom_site_label
_atom_site_type_symbol
_atom_site_fract_x
_atom_site_fract_y
_atom_site_fract_z
Ti1 Ti 0.0000 0.0000 0.0000
Tl1 Tl 0.1358 0.4890 0.3644
Te1 Te 0.0000 0.0019 0.5000
Te2 Te 0.2498 0.2521 0.0005
O1 O 0.0658 0.0031 0.3194
O2 O 0.1265 0.1956 0.0662
O3 O 0.1275 0.2004 0.6745
O4 O 0.1271 0.8104 0.0654
O5 O 0.1282 0.8047 0.6740
O6 O 0.1743 0.5024 0.9300
```

Values from the calculation:
- DFT total energy: -209.7 eV for the cell shown
- Uncorrected formation energy: -1295 meV per atom
- DOS(E_F): 0.00 states/eV per cell


# TiTlTeO5

TiTlTeO5 after structural relaxation (PBE, Alexandria).

Structure (CIF):
```
data_TiTlTeO5
_chemical_formula_sum 'Ti4 Tl4 Te4 O20'
_cell_length_a 7.4290
_cell_length_b 9.6941
_cell_length_c 7.4715
_cell_angle_alpha 90.00
_cell_angle_beta 112.71
_cell_angle_gamma 90.00
_space_group_name_H-M_alt 'C 1 2/c 1'
_space_group_IT_number 15
loop_
_space_group_symop_operation_xyz
'x,y,z'
'-x,-y,-z'
'-x,y,-z+1/2'
'x,-y,z+1/2'
'x+1/2,y+1/2,z'
'-x+1/2,-y+1/2,-z'
'-x+1/2,y+1/2,-z+1/2'
'x+1/2,-y+1/2,z+1/2'
loop_
_atom_site_label
_atom_site_type_symbol
_atom_site_fract_x
_atom_site_fract_y
_atom_site_fract_z
Ti1 Ti 0.0000 0.0000 0.0000
Tl1 Tl 0.0000 0.3190 0.2500
Te1 Te 0.0000 0.3163 0.7500
O1 O 0.0000 0.0476 0.2500
O2 O 0.0969 0.1932 0.6046
O3 O 0.2250 0.4198 0.9273
```

Values from the calculation:
- DFT total energy: -201.2 eV for the cell shown
- Uncorrected formation energy: -1512 meV per atom
- DOS(E_F): 10.34 states/eV per cell


# TiTlTeO6

TiTlTeO6 after structural relaxation (PBE, Alexandria).

Structure (CIF):
```
data_TiTlTeO6
_chemical_formula_sum 'Ti1 Tl1 Te1 O6'
_cell_length_a 5.2937
_cell_length_b 5.2937
_cell_length_c 5.2483
_cell_angle_alpha 90.00
_cell_angle_beta 90.00
_cell_angle_gamma 120.00
_space_group_name_H-M_alt 'P 3 1 2'
_space_group_IT_number 149
loop_
_space_group_symop_operation_xyz
'x,y,z'
'-y,x-y,z'
'-x+y,-x,z'
'-y,-x,-z'
'-x+y,y,-z'
'x,x-y,-z'
loop_
_atom_site_label
_atom_site_type_symbol
_atom_site_fract_x
_atom_site_fract_y
_atom_site_fract_z
Ti1 Ti 0.0000 0.0000 0.0000
Tl1 Tl 0.6667 0.3333 0.5000
Te1 Te 0.3333 0.6667 0.0000
O1 O 0.0503 0.3373 0.2060
```

Values from the calculation:
- DFT total energy: -57.2 eV for the cell shown
- Uncorrected formation energy: -1560 meV per atom
- DOS(E_F): 3.78 states/eV per cell


# Ti2TlTeO8

Ti2TlTeO8 after structural relaxation (PBE, Alexandria).

Structure (CIF):
```
data_Ti2TlTeO8
_chemical_formula_sum 'Ti4 Tl2 Te2 O16'
_cell_length_a 6.7697
_cell_length_b 6.8157
_cell_length_c 6.3792
_cell_angle_alpha 90.00
_cell_angle_beta 90.00
_cell_angle_gamma 90.00
_space_group_name_H-M_alt 'C m m m'
_space_group_IT_number 65
_space_group_name_Hall '-C 2 2'
loop_
_atom_site_label
_atom_site_type_symbol
_atom_site_fract_x
_atom_site_fract_y
_atom_site_fract_z
Ti1 Ti 0.0000 0.0000 0.2458
Tl1 Tl 0.0000 0.5000 0.0000
Te1 Te 0.0000 0.5000 0.5000
O1 O 0.0000 0.1735 0.0000
O2 O 0.0000 0.1946 0.5000
O3 O 0.2090 0.5000 0.2718
```

Values from the calculation:
- DFT total energy: -166.0 eV for the cell shown
- Uncorrected formation energy: -1836 meV per atom
- DOS(E_F): 5.69 states/eV per cell


# TiTlTe2O6

TiTlTe2O6 after structural relaxation (PBE, Alexandria).

Structure (CIF):
```
data_TiTlTe2O6
_chemical_formula_sum 'Ti4 Tl4 Te8 O24'
_cell_length_a 9.8148
_cell_length_b 9.8333
_cell_length_c 7.3272
_cell_angle_alpha 90.00
_cell_angle_beta 109.00
_cell_angle_gamma 90.00
_space_group_name_H-M_alt 'C 1 2/c 1'
_space_group_IT_number 15
loop_
_space_group_symop_operation_xyz
'x,y,z'
'-x,-y,-z'
'-x,y,-z+1/2'
'x,-y,z+1/2'
'x+1/2,y+1/2,z'
'-x+1/2,-y+1/2,-z'
'-x+1/2,y+1/2,-z+1/2'
'x+1/2,-y+1/2,z+1/2'
loop_
_atom_site_label
_atom_site_type_symbol
_atom_site_fract_x
_atom_site_fract_y
_atom_site_fract_z
Ti1 Ti 0.0000 0.2080 0.2500
Tl1 Tl 0.0000 0.4262 0.7500
Te1 Te 0.1695 0.1221 0.7744
O1 O 0.1004 0.2003 0.5234
O2 O 0.1263 0.3618 0.2143
O3 O 0.1447 0.0659 0.2090
```

Values from the calculation:
- DFT total energy: -241.4 eV for the cell shown
- Uncorrected formation energy: -1407 meV per atom
- DOS(E_F): 14.18 states/eV per cell


# TiTlTe2O8

TiTlTe2O8 after structural relaxation (PBE, Alexandria).

Structure (CIF):
```
data_TiTlTe2O8
_chemical_formula_sum 'Ti2 Tl2 Te4 O16'
_cell_length_a 9.1748
_cell_length_b 5.6684
_cell_length_c 9.0968
_cell_angle_alpha 90.00
_cell_angle_beta 106.37
_cell_angle_gamma 90.00
_space_group_name_H-M_alt 'C 1 2/m 1'
_space_group_IT_number 12
loop_
_space_group_symop_operation_xyz
'x,y,z'
'-x,-y,-z'
'-x,y,-z'
'x,-y,z'
'x+1/2,y+1/2,z'
'-x+1/2,-y+1/2,-z'
'-x+1/2,y+1/2,-z'
'x+1/2,-y+1/2,z'
loop_
_atom_site_label
_atom_site_type_symbol
_atom_site_fract_x
_atom_site_fract_y
_atom_site_fract_z
Ti1 Ti 0.0000 0.0000 0.0000
Tl1 Tl 0.0000 0.5000 0.5000
Te1 Te 0.2019 0.5000 0.1893
O1 O 0.0647 0.2437 0.1633
O2 O 0.1827 0.0000 0.6091
O3 O 0.2025 0.0000 0.9729
```

Values from the calculation:
- DFT total energy: -142.1 eV for the cell shown
- Uncorrected formation energy: -1235 meV per atom
- DOS(E_F): 7.27 states/eV per cell


# YTiTeO6

YTiTeO6 after structural relaxation (PBE, Alexandria).

Structure (CIF):
```
data_YTiTeO6
_chemical_formula_sum 'Y2 Ti2 Te2 O12'
_cell_length_a 5.2927
_cell_length_b 5.2927
_cell_length_c 9.7636
_cell_angle_alpha 90.00
_cell_angle_beta 90.00
_cell_angle_gamma 120.00
_space_group_name_H-M_alt 'P -3 1 c'
_space_group_IT_number 163
_space_group_name_Hall '-P 3 2c'
loop_
_atom_site_label
_atom_site_type_symbol
_atom_site_fract_x
_atom_site_fract_y
_atom_site_fract_z
Y1 Y 0.0000 0.0000 0.0000
Ti1 Ti 0.3333 0.6667 0.2500
Te1 Te 0.3333 0.6667 0.7500
O1 O 0.0071 0.3613 0.1386
```

Values from the calculation:
- DFT total energy: -136.7 eV for the cell shown
- Uncorrected formation energy: -2345 meV per atom
- DOS(E_F): 11.71 states/eV per cell


# TiZnTeO6

TiZnTeO6 after structural relaxation (PBE, Alexandria).

Structure (CIF):
```
data_TiZnTeO6
_chemical_formula_sum 'Ti2 Zn2 Te2 O12'
_cell_length_a 5.1441
_cell_length_b 5.1441
_cell_length_c 9.1189
_cell_angle_alpha 90.00
_cell_angle_beta 90.00
_cell_angle_gamma 120.00
_space_group_name_H-M_alt 'P -3 1 c'
_space_group_IT_number 163
_space_group_name_Hall '-P 3 2c'
loop_
_atom_site_label
_atom_site_type_symbol
_atom_site_fract_x
_atom_site_fract_y
_atom_site_fract_z
Ti1 Ti 0.3333 0.6667 0.2500
Zn1 Zn 0.0000 0.0000 0.0000
Te1 Te 0.3333 0.6667 0.7500
O1 O 0.0043 0.3583 0.6340
```

Values from the calculation:
- DFT total energy: -114.6 eV for the cell shown
- Uncorrected formation energy: -1696 meV per atom
- DOS(E_F): 0.00 states/eV per cell


Question: What is the uncorrected formation energy in the fourth record?
Answer: -225 meV per atom